# 1
This record from the Alexandria database describes a relaxed CePmBiN2 crystal. The functional is PBE.

size of the total moment = 0.000 μB per atom
Fermi-level density of states = 8.9 states/eV/cell
uncorrected formation energy = -24.68 kcal/mol of atoms
density = 7.35 g/cm³
electronic total energy = -7.313 eV per atom

Structure (CIF):
```
data_CePmBiN2
_chemical_formula_sum 'Ce2 Pm2 Bi2 N4'
_symmetry_space_group_name_H-M 'P 1'
_symmetry_Int_Tables_number 1
_cell_length_a 5.662
_cell_length_b 5.654
_cell_length_c 7.893
_cell_angle_alpha 110.99
_cell_angle_beta 90.00
_cell_angle_gamma 90.00
loop_
_symmetry_equiv_pos_as_xyz
'x,y,z'
loop_
_atom_site_label
_atom_site_type_symbol
_atom_site_fract_x
_atom_site_fract_y
_atom_site_fract_z
_atom_site_occupancy
Pm1 Pm 0.750 0.078 0.156 1
Pm2 Pm 0.250 0.922 0.844 1
Ce1 Ce 0.250 0.571 0.142 1
Ce2 Ce 0.750 0.429 0.858 1
N1 N 0.500 0.260 0.000 1
N2 N 0.000 0.260 0.000 1
N3 N 0.500 0.740 0.000 1
N4 N 0.000 0.740 0.000 1
Bi1 Bi 0.250 0.249 0.498 1
Bi2 Bi 0.750 0.751 0.502 1
```

# 2
This record from the Alexandria database describes a relaxed Ce4Pm2Bi3N2 crystal. The functional is PBE.

size of the total moment = 0.349 μB per atom
Fermi-level density of states = 22.7 states/eV/cell
uncorrected formation energy = -22.61 kcal/mol of atoms
density = 8.30 g/cm³
electronic total energy = -6.574 eV per atom

Structure (CIF):
```
data_Ce4Pm2Bi3N2
_chemical_formula_sum 'Ce4 Pm2 Bi3 N2'
_symmetry_space_group_name_H-M 'P 1'
_symmetry_Int_Tables_number 1
_cell_length_a 4.728
_cell_length_b 4.728
_cell_length_c 13.884
_cell_angle_alpha 99.80
_cell_angle_beta 99.80
_cell_angle_gamma 90.00
loop_
_symmetry_equiv_pos_as_xyz
'x,y,z'
loop_
_atom_site_label
_atom_site_type_symbol
_atom_site_fract_x
_atom_site_fract_y
_atom_site_fract_z
_atom_site_occupancy
Bi1 Bi 0.819 0.819 0.638 1
Bi2 Bi 0.000 0.000 0.000 1
Bi3 Bi 0.181 0.181 0.362 1
Ce1 Ce 0.586 0.086 0.172 1
Ce2 Ce 0.414 0.914 0.828 1
Ce3 Ce 0.914 0.414 0.828 1
Ce4 Ce 0.086 0.586 0.172 1
Pm1 Pm 0.695 0.695 0.390 1
Pm2 Pm 0.305 0.305 0.610 1
N1 N 0.605 0.605 0.210 1
N2 N 0.395 0.395 0.790 1
```

# 3
This record from the Alexandria database describes a relaxed Ce2PmBiN2 crystal. The functional is PBE.

size of the total moment = 0.327 μB per atom
Fermi-level density of states = 9.9 states/eV/cell
uncorrected formation energy = -20.22 kcal/mol of atoms
density = 7.86 g/cm³
electronic total energy = -7.068 eV per atom

Structure (CIF):
```
data_Ce2PmBiN2
_chemical_formula_sum 'Ce2 Pm1 Bi1 N2'
_symmetry_space_group_name_H-M 'P 1'
_symmetry_Int_Tables_number 1
_cell_length_a 4.568
_cell_length_b 4.568
_cell_length_c 6.707
_cell_angle_alpha 90.00
_cell_angle_beta 90.00
_cell_angle_gamma 90.00
loop_
_symmetry_equiv_pos_as_xyz
'x,y,z'
loop_
_atom_site_label
_atom_site_type_symbol
_atom_site_fract_x
_atom_site_fract_y
_atom_site_fract_z
_atom_site_occupancy
Pm1 Pm 0.000 0.000 0.000 1
Ce1 Ce 0.500 0.500 0.224 1
Ce2 Ce 0.500 0.500 0.776 1
Bi1 Bi 0.000 0.000 0.500 1
N1 N 0.500 0.000 0.000 1
N2 N 0.000 0.500 0.000 1
```

# 4
This record from the Alexandria database describes a relaxed CePr2Bi2N2 crystal. The functional is PBE.

size of the total moment = 0.000 μB per atom
Fermi-level density of states = 4.3 states/eV/cell
uncorrected formation energy = -20.94 kcal/mol of atoms
density = 8.48 g/cm³
electronic total energy = -6.609 eV per atom

Structure (CIF):
```
data_CePr2Bi2N2
_chemical_formula_sum 'Ce1 Pr2 Bi2 N2'
_symmetry_space_group_name_H-M 'P 1'
_symmetry_Int_Tables_number 1
_cell_length_a 4.546
_cell_length_b 4.546
_cell_length_c 8.833
_cell_angle_alpha 104.91
_cell_angle_beta 104.91
_cell_angle_gamma 90.00
loop_
_symmetry_equiv_pos_as_xyz
'x,y,z'
loop_
_atom_site_label
_atom_site_type_symbol
_atom_site_fract_x
_atom_site_fract_y
_atom_site_fract_z
_atom_site_occupancy
Pr1 Pr 0.400 0.400 0.801 1
Pr2 Pr 0.600 0.600 0.199 1
Bi1 Bi 0.205 0.205 0.410 1
Bi2 Bi 0.795 0.795 0.590 1
Ce1 Ce 0.000 0.000 0.000 1
N1 N 0.000 0.500 0.000 1
N2 N 0.500 0.000 0.000 1
```

- Which value of density does entry 3 give?
  7.86 g/cm³